First-principles (PBE+U) data for Pm2TeMoO8 after structural relaxation, as listed in the Alexandria database.

Cell and atoms, written as POSCAR:
```
Pm2TeMoO8
1.0
3.527 -3.653 0.000
3.527 3.653 0.000
0.000 0.000 6.707
Pm Te Mo O
2 1 1 8
direct
0.002 0.002 0.251
0.998 0.998 0.749
0.500 0.500 0.000
0.500 0.500 0.500
0.224 0.224 0.999
0.226 0.226 0.501
0.325 0.673 0.233
0.327 0.675 0.767
0.673 0.325 0.233
0.675 0.327 0.767
0.774 0.774 0.499
0.776 0.776 0.001
```

Properties
E_tot	-7.12	eV/atom